The following is a PBE calculation of a relaxed structure of CaIn, from Alexandria.

Output
DOS(E_F), states/eV/f.u.: 1.8
Energy of formation from the pure elements, eV per formula unit: 0.87
Size of the total moment, μB per cell: 0.00
Total energy, eV/atom: -1.934

Lattice parameters (Å, degrees): 7.251 7.251 7.251 90.00 90.00 90.00
Space group F-43m (No. 216)
One atom of each set of equivalent atoms:
Ca 0.000 0.000 0.000 x4
In 0.250 0.250 0.750 x4